(1)
The following is a PBE calculation of a geometry-optimized ZnIn2Cl structure, from the Alexandria database.

a = 7.6700 Å, b = 5.6040 Å, c = 3.2765 Å
α = 77.66°, β = 83.40°, γ = 130.60°
Last column: nearest neighbours and their distance in Å.
Element x y z (fractional)
In 0.5000 0.0000 0.5000  2 Zn 2.93, 2 Cl 2.93, 2 In 3.28
In 0.0000 0.0000 0.0000  2 Cl 2.93, 2 Zn 2.93, 2 In 3.28
Cl 0.5000 0.5000 0.0000  4 In 2.93, 2 Cl 3.28
Zn 0.0000 0.5000 0.5000  4 In 2.93, 2 Zn 3.28

Output
The uncorrected energy is -2.3772 eV/atom. The value obtained for the spin magnetization is 0.0 μB per cell. As for the symmetry: C2/m (12). The value obtained for the uncorrected formation energy is -0.2278 eV per atom.


(2)
The following is a PBE calculation of a geometry-optimized TbPm3Ho2Tm6 structure, from the Alexandria database.

a = 6.1387 Å, b = 6.1387 Å, c = 11.6676 Å
α = 95.02°, β = 95.02°, γ = 119.97°
Last column: nearest neighbours and their distance in Å.
Element x y z (fractional)
Tm 0.2509 0.2509 0.7529  1 Tb 3.50, 2 Ho 3.50, 6 Tm 3.54-3.55, 3 Pm 3.55
Ho 0.3333 0.6667 0.0000  6 Tm 3.50, 3 Tb 3.54-3.55, 3 Ho 3.54-3.55
Tm 0.5840 0.9174 0.7529  2 Ho 3.50, 1 Tb 3.50, 6 Tm 3.54-3.55, 3 Pm 3.55
Tb 0.0000 0.0000 0.0000  6 Tm 3.50, 6 Ho 3.54-3.55
Tm 0.9174 0.5840 0.7529  2 Ho 3.50, 1 Tb 3.50, 6 Tm 3.54-3.55, 3 Pm 3.55
Tm 0.4160 0.0826 0.2471  2 Ho 3.50, 1 Tb 3.50, 6 Tm 3.54-3.55, 3 Pm 3.55
Tm 0.0826 0.4160 0.2471  2 Ho 3.50, 1 Tb 3.50, 6 Tm 3.54-3.55, 3 Pm 3.55
Ho 0.6667 0.3333 0.0000  6 Tm 3.50, 3 Tb 3.54-3.55, 3 Ho 3.54-3.55
Pm 0.5000 0.5000 0.5000  6 Pm 3.54-3.55, 6 Tm 3.55
Pm 0.8333 0.1667 0.5000  6 Pm 3.54-3.55, 6 Tm 3.55
Pm 0.1667 0.8333 0.5000  6 Pm 3.54-3.55, 6 Tm 3.55
Tm 0.7491 0.7491 0.2471  1 Tb 3.50, 2 Ho 3.50, 6 Tm 3.54-3.55, 3 Pm 3.55

Output
As for the formation energy: 2.1 kJ per mole of atoms. The uncorrected energy is -4.5506 eV/atom. The value obtained for the spin magnetization is 0.0 μB per cell. As for the symmetry: C2/m (12).


(3)
The following is a PBE calculation of a geometry-optimized RbTlGe2Cl6 structure, from the Alexandria database.

a = 9.9902 Å, b = 9.4024 Å, c = 9.4024 Å
α = 100.24°, β = 70.67°, γ = 70.67°
Last column: nearest neighbours and their distance in Å.
Element x y z (fractional)
Rb 0.2500 0.8681 0.1319  8 Cl 3.37-3.74
Ge 0.7904 0.5700 0.7471  3 Cl 2.33-2.39
Cl 0.4384 0.4654 0.2091  1 Ge 2.33
Cl 0.9384 0.2091 0.4654  1 Ge 2.33
Cl 0.3366 0.1795 0.0450  1 Ge 2.39
Tl 0.2500 0.2354 0.7646  4 Cl 3.11-3.27
Ge 0.2096 0.4300 0.2529  3 Cl 2.33-2.39
Rb 0.7500 0.1319 0.8681  8 Cl 3.37-3.74
Tl 0.7500 0.7646 0.2354  4 Cl 3.11-3.27
Cl 0.3692 0.9124 0.4266  1 Ge 2.39
Cl 0.6634 0.8205 0.9550  1 Ge 2.39
Cl 0.5616 0.5346 0.7909  1 Ge 2.33
Ge 0.2904 0.7471 0.5700  3 Cl 2.33-2.39
Cl 0.6308 0.0876 0.5734  1 Ge 2.39
Cl 0.0616 0.7909 0.5346  1 Ge 2.33
Cl 0.1308 0.5734 0.0876  1 Ge 2.39
Cl 0.8692 0.4266 0.9124  1 Ge 2.39
Cl 0.8366 0.0450 0.1795  1 Ge 2.39
Ge 0.7096 0.2529 0.4300  3 Cl 2.33-2.39
Cl 0.1635 0.9550 0.8205  1 Ge 2.39

Output
The uncorrected energy is -3.4782 eV/atom. The value obtained for the spin magnetization is 0.0 μB per cell. As for the symmetry: C2/c (15). The value obtained for the uncorrected formation energy is -1.1134 eV per atom.


| no. | volume (Å³ per cell) |
| --- | --- |
| 1 | 98 |
| 2 | 375 |
| 3 | 744 |